Entry 1:
A plane-wave DFT calculation with GGA-PBEsol was carried out for a relaxed Zr3Tl crystal.

The formation energy comes out at -0.18 eV per atom. The density of states at the Fermi level is 3.0 states/eV per cell. The calculation puts the volume at 21.5 Å³ per atom.

It has space group Pm-3m (No. 221), with a = 4.412 Å, b = 4.412 Å, c = 4.412 Å, α = 90.00°, β = 90.00° and γ = 90.00°. The asymmetric unit holds Zr at (0.000, 0.000, 0.500) and Tl at (0.500, 0.500, 0.500).

=====

Entry 2:
A plane-wave DFT calculation with GGA-PBEsol was carried out for a relaxed Zr4Tl crystal.

The formation energy comes out at 0.42 eV per atom. The density of states at the Fermi level is 8.4 states/eV per cell. The calculation puts the volume at 23.4 Å³ per atom.

It has space group I4/mmm (No. 139), with a = 4.049 Å, b = 4.049 Å, c = 14.295 Å, α = 90.00°, β = 90.00° and γ = 90.00°. The asymmetric unit holds Zr at (0.000, 0.000, 0.088), Zr at (0.000, 0.500, 0.250) and Tl at (0.000, 0.000, 0.500).

=====

Entry 3:
A plane-wave DFT calculation with GGA-PBEsol was carried out for a relaxed ZrTl3 crystal.

The formation energy comes out at 0.03 eV per atom. The density of states at the Fermi level is 2.8 states/eV per cell. The calculation puts the volume at 24.0 Å³ per atom.

It has space group Pmm2 (No. 25), with a = 3.225 Å, b = 5.363 Å, c = 5.560 Å, α = 90.00°, β = 90.00° and γ = 90.00°. The asymmetric unit holds Zr at (0.000, 0.000, 0.000), Tl at (0.000, 0.500, 0.648), Tl at (0.500, 0.000, 0.500) and Tl at (0.500, 0.500, 0.130).

=====

Entry 4:
A plane-wave DFT calculation with GGA-PBEsol was carried out for a relaxed ZrTl5 crystal.

The formation energy comes out at 0.03 eV per atom. The density of states at the Fermi level is 3.5 states/eV per cell. The calculation puts the volume at 25.9 Å³ per atom.

It has space group P4/mmm (No. 123), with a = 3.299 Å, b = 3.299 Å, c = 14.292 Å, α = 90.00°, β = 90.00° and γ = 90.00°. The asymmetric unit holds Zr at (0.000, 0.000, 0.000), Tl at (0.000, 0.000, 0.315), Tl at (0.500, 0.500, 0.145) and Tl at (0.500, 0.500, 0.500).

=====

Entry 5:
A plane-wave DFT calculation with GGA-PBEsol was carried out for a relaxed Zr3Tl crystal.

The formation energy comes out at -0.07 eV per atom. The density of states at the Fermi level is 8.6 states/eV per cell. The calculation puts the volume at 21.9 Å³ per atom.

It has space group Imm2 (No. 44), with a = 3.156 Å, b = 10.258 Å, c = 5.423 Å, α = 90.00°, β = 90.00° and γ = 90.00°. The asymmetric unit holds Zr at (0.000, 0.000, 0.000), Zr at (0.000, 0.242, 0.669) and Tl at (0.000, 0.500, 0.985).

=====

Entry 6:
A plane-wave DFT calculation with GGA-PBEsol was carried out for a relaxed Zr5Tl crystal.

The formation energy comes out at -0.03 eV per atom. The density of states at the Fermi level is 6.9 states/eV per cell. The calculation puts the volume at 22.1 Å³ per atom.

It has space group Pm (No. 6), with a = 3.176 Å, b = 5.108 Å, c = 8.275 Å, α = 90.00°, β = 98.32° and γ = 90.00°. The asymmetric unit holds Zr at (0.000, 0.000, 0.000), Zr at (0.117, 0.500, 0.233), Zr at (0.479, 0.500, 0.907), Zr at (0.620, 0.000, 0.340), Zr at (0.879, 0.500, 0.577) and Tl at (0.377, 0.000, 0.678).

=====

Entry 7:
A plane-wave DFT calculation with GGA-PBEsol was carried out for a relaxed Zr4Tl3 crystal.

The formation energy comes out at -0.10 eV per atom. The density of states at the Fermi level is 2.1 states/eV per cell. The calculation puts the volume at 22.1 Å³ per atom.

It has space group P6/mmm (No. 191), with a = 5.7621 Å, b = 5.7621 Å, c = 5.3801 Å, α = 90.00°, β = 90.00° and γ = 120.00°. The asymmetric unit holds Zr at (0.0000, 0.0000, 0.2352), Zr at (0.3333, 0.6667, 0.0000) and Tl at (0.0000, 0.5000, 0.5000).

=====

Entry 8:
A plane-wave DFT calculation with GGA-PBEsol was carried out for a relaxed ZrTl3 crystal.

The formation energy comes out at 0.05 eV per atom. The density of states at the Fermi level is 2.5 states/eV per cell. The calculation puts the volume at 24.1 Å³ per atom.

It has space group Pmmm (No. 47), with a = 3.406 Å, b = 4.456 Å, c = 6.354 Å, α = 90.00°, β = 90.00° and γ = 90.00°. The asymmetric unit holds Zr at (0.000, 0.000, 0.000), Tl at (0.000, 0.000, 0.500) and Tl at (0.500, 0.500, 0.237).